The following is a GGA-PBE calculation of Sc3TiNi4 after structural relaxation, from the Alexandria database.

Structure (CIF):
```
data_Sc3TiNi4
_chemical_formula_sum 'Sc3 Ti1 Ni4'
_symmetry_space_group_name_H-M 'P 4/m m m'
_symmetry_Int_Tables_number 123
_symmetry_space_group_name_Hall '-P 4 2'
_cell_length_a 3.1267
_cell_length_b 3.1267
_cell_length_c 12.5891
_cell_angle_alpha 90.00
_cell_angle_beta 90.00
_cell_angle_gamma 90.00
loop_
_atom_site_label
_atom_site_type_symbol
_atom_site_fract_x
_atom_site_fract_y
_atom_site_fract_z
Sc1 Sc 0.0000 0.0000 0.0000
Sc2 Sc 0.0000 0.0000 0.2557
Ti1 Ti 0.0000 0.0000 0.5000
Ni1 Ni 0.5000 0.5000 0.1290
Ni2 Ni 0.5000 0.5000 0.3943
```

Energy relative to the elements = -3.7 eV/f.u.